(1)
Compound: SrAcY
Source: Alexandria via LeMat-Bulk
Functional: PBE
Structure: optimized geometry

Values from the calculation:
* polymorph energy (0 for the lowest one): 0.056 eV per atom
* energy of formation: 154.6 meV/atom
* N(E_F): 1.73 states/eV/atom

CIF file:
```
data_SrAcY
_chemical_formula_sum 'Sr2 Ac2 Y2'
_symmetry_space_group_name_H-M 'P -1'
_symmetry_Int_Tables_number 2
_symmetry_space_group_name_Hall '-P 1'
_cell_length_a 3.8916
_cell_length_b 6.9539
_cell_length_c 10.2373
_cell_angle_alpha 74.12
_cell_angle_beta 79.06
_cell_angle_gamma 73.78
loop_
_atom_site_label
_atom_site_type_symbol
_atom_site_fract_x
_atom_site_fract_y
_atom_site_fract_z
Sr1 Sr 0.0036 0.2156 0.2765
Ac1 Ac 0.3321 0.7470 0.0892
Y1 Y 0.3117 0.2890 0.5873
```

***

(2)
Compound: Ba2CaAl2P4
Source: Alexandria via LeMat-Bulk
Functional: PBE
Structure: optimized geometry

Values from the calculation:
* energy of formation: -972.4 meV/atom
* N(E_F): 0.00 states/eV/atom

CIF file:
```
data_Ba2CaAl2P4
_chemical_formula_sum 'Ba4 Ca2 Al4 P8'
_symmetry_space_group_name_H-M 'C 1 2/m 1'
_symmetry_Int_Tables_number 12
_symmetry_space_group_name_Hall '-C 2y'
_cell_length_a 15.7099
_cell_length_b 4.0515
_cell_length_c 7.6225
_cell_angle_alpha 90.00
_cell_angle_beta 109.61
_cell_angle_gamma 90.00
loop_
_atom_site_label
_atom_site_type_symbol
_atom_site_fract_x
_atom_site_fract_y
_atom_site_fract_z
Ba1 Ba 0.1242 0.0000 0.0445
Ca1 Ca 0.0000 0.0000 0.5000
Al1 Al 0.1709 0.5000 0.4766
P1 P 0.0278 0.5000 0.2527
P2 P 0.2107 0.0000 0.6738
```

***

(3)
Compound: YSc2Re
Source: Alexandria via LeMat-Bulk
Functional: PBE
Structure: optimized geometry

Values from the calculation:
* polymorph energy (0 for the lowest one): 0.068 eV per atom
* energy of formation: 81.0 meV/atom
* N(E_F): 1.03 states/eV/atom

CIF file:
```
data_YSc2Re
_chemical_formula_sum 'Y1 Sc2 Re1'
_symmetry_space_group_name_H-M 'P 4 m m'
_symmetry_Int_Tables_number 99
_symmetry_space_group_name_Hall 'P 4 -2'
_cell_length_a 3.5470
_cell_length_b 3.5470
_cell_length_c 7.2833
_cell_angle_alpha 90.00
_cell_angle_beta 90.00
_cell_angle_gamma 90.00
loop_
_atom_site_label
_atom_site_type_symbol
_atom_site_fract_x
_atom_site_fract_y
_atom_site_fract_z
Y1 Y 0.0000 0.0000 0.0000
Sc1 Sc 0.0000 0.0000 0.4134
Sc2 Sc 0.5000 0.5000 0.6526
Re1 Re 0.5000 0.5000 0.2491
```

***

(4)
Compound: MgAlCdIn
Source: Alexandria via LeMat-Bulk
Functional: PBE
Structure: optimized geometry

Values from the calculation:
* energy of formation: 88.3 meV/atom
* N(E_F): 0.57 states/eV/atom

CIF file:
```
data_MgAlCdIn
_chemical_formula_sum 'Mg4 Al4 Cd4 In4'
_symmetry_space_group_name_H-M 'F -4 3 m'
_symmetry_Int_Tables_number 216
_symmetry_space_group_name_Hall 'F -4 2 3'
_cell_length_a 7.0736
_cell_length_b 7.0736
_cell_length_c 7.0736
_cell_angle_alpha 90.00
_cell_angle_beta 90.00
_cell_angle_gamma 90.00
loop_
_atom_site_label
_atom_site_type_symbol
_atom_site_fract_x
_atom_site_fract_y
_atom_site_fract_z
Mg1 Mg 0.0000 0.0000 0.0000
Al1 Al 0.0000 0.0000 0.5000
Cd1 Cd 0.2500 0.2500 0.2500
In1 In 0.2500 0.2500 0.7500
```

***

(5)
Compound: RhI3
Source: Alexandria via LeMat-Bulk
Functional: PBE
Structure: optimized geometry

Values from the calculation:
* raw formation energy: -264 meV per atom
* N(E_F): 0.00 states/eV/atom

CIF file:
```
data_RhI3
_chemical_formula_sum 'Rh4 I12'
_symmetry_space_group_name_H-M 'C 1 2/m 1'
_symmetry_Int_Tables_number 12
_symmetry_space_group_name_Hall '-C 2y'
_cell_length_a 6.9105
_cell_length_b 11.9706
_cell_length_c 7.3220
_cell_angle_alpha 90.00
_cell_angle_beta 106.29
_cell_angle_gamma 90.00
loop_
_atom_site_label
_atom_site_type_symbol
_atom_site_fract_x
_atom_site_fract_y
_atom_site_fract_z
Rh1 Rh 0.0000 0.1667 0.0000
I1 I 0.2068 0.0000 0.2153
I2 I 0.2426 0.3212 0.2150
```

***

(6)
Compound: Ho3Se2
Source: Alexandria via LeMat-Bulk
Functional: PBE
Structure: optimized geometry

Values from the calculation:
* raw formation energy: -1368 meV per atom
* polymorph energy (0 for the lowest one): 0.000 eV per atom
* N(E_F): 0.72 states/eV/atom

CIF file:
```
data_Ho3Se2
_chemical_formula_sum 'Ho9 Se6'
_symmetry_space_group_name_H-M 'R -3 m'
_symmetry_Int_Tables_number 166
_symmetry_space_group_name_Hall '-R 3 2"'
_cell_length_a 3.8961
_cell_length_b 3.8961
_cell_length_c 29.7996
_cell_angle_alpha 90.00
_cell_angle_beta 90.00
_cell_angle_gamma 120.00
loop_
_atom_site_label
_atom_site_type_symbol
_atom_site_fract_x
_atom_site_fract_y
_atom_site_fract_z
Ho1 Ho 0.0000 0.0000 0.0000
Ho2 Ho 0.0000 0.0000 0.2126
Se1 Se 0.0000 0.0000 0.3918
```

***

(7)
Compound: Ac2SmYS6
Source: Alexandria via LeMat-Bulk
Functional: PBE
Structure: optimized geometry

Values from the calculation:
* raw formation energy: -2100 meV per atom
* N(E_F): 0.00 states/eV/atom

CIF file:
```
data_Ac2SmYS6
_chemical_formula_sum 'Ac6 Sm3 Y3 S18'
_symmetry_space_group_name_H-M 'R 3'
_symmetry_Int_Tables_number 146
_symmetry_space_group_name_Hall 'R 3'
_cell_length_a 7.3128
_cell_length_b 7.3128
_cell_length_c 18.7575
_cell_angle_alpha 90.00
_cell_angle_beta 90.00
_cell_angle_gamma 120.00
loop_
_atom_site_label
_atom_site_type_symbol
_atom_site_fract_x
_atom_site_fract_y
_atom_site_fract_z
Ac1 Ac 0.0000 0.0000 0.0000
Ac2 Ac 0.0000 0.0000 0.4991
Sm1 Sm 0.0000 0.0000 0.2136
Y1 Y 0.0000 0.0000 0.7123
S1 S 0.0614 0.3530 0.7816
S2 S 0.0638 0.7034 0.2827
```

***

(8)
Compound: LiRuRh2
Source: Alexandria via LeMat-Bulk
Functional: PBE
Structure: optimized geometry

Values from the calculation:
* polymorph energy (0 for the lowest one): 0.048 eV per atom
* energy of formation: 35.8 meV/atom
* N(E_F): 1.11 states/eV/atom

CIF file:
```
data_LiRuRh2
_chemical_formula_sum 'Li1 Ru1 Rh2'
_symmetry_space_group_name_H-M 'P 1 2/m 1'
_symmetry_Int_Tables_number 10
_symmetry_space_group_name_Hall '-P 2y'
_cell_length_a 2.6690
_cell_length_b 3.9936
_cell_length_c 5.1500
_cell_angle_alpha 90.00
_cell_angle_beta 102.42
_cell_angle_gamma 90.00
loop_
_atom_site_label
_atom_site_type_symbol
_atom_site_fract_x
_atom_site_fract_y
_atom_site_fract_z
Li1 Li 0.0000 0.0000 0.0000
Ru1 Ru 0.0000 0.0000 0.5000
Rh1 Rh 0.3947 0.5000 0.2427
```

***

Number 1: V 254 Å³/cell. Number 2: V 457 Å³/cell. Number 3: V 92 Å³/cell. Number 4: V 354 Å³/cell. Number 5: V 581 Å³/cell. Number 6: V 392 Å³/cell. Number 7: V 869 Å³/cell. Number 8: V 54 Å³/cell.